1 | Entry from Alexandria via LeMat-Bulk: a relaxed SrIn3Pt3 crystal (PBE).

It has space group P6_3/m (No. 176), with a = 9.3711 Å, b = 9.3711 Å, c = 4.4595 Å, α = 90.00°, β = 90.00° and γ = 120.00°. The inequivalent atoms are Sr at (0.3333, 0.6667, 0.2500), In at (0.0615, 0.3086, 0.7500) and Pt at (0.0431, 0.6078, 0.7500).

The volume comes out at 24.227 A^3/atom.

2 | Entry from Alexandria via LeMat-Bulk: a relaxed SrIn3Pt3 crystal (PBE).

It has space group Pm-3n (No. 223), with a = 7.406 Å, b = 7.406 Å, c = 7.406 Å, α = 90.00°, β = 90.00° and γ = 90.00°. The inequivalent atoms are Sr at (0.000, 0.000, 0.000), In at (0.000, 0.250, 0.500) and Pt at (0.000, 0.500, 0.250).

The volume comes out at 29.019 A^3/atom.

3 | Entry from Alexandria via LeMat-Bulk: a relaxed SrIn3Pt3 crystal (PBE).

It has space group R-3 (No. 148, hexagonal axes), with a = 8.6744 Å, b = 8.6744 Å, c = 15.9323 Å, α = 90.00°, β = 90.00° and γ = 120.00°. The inequivalent atoms are Sr at (0.0000, 0.0000, 0.1719), In at (0.0178, 0.2984, 0.6254) and Pt at (0.0091, 0.2795, 0.4507).

The volume comes out at 24.720 A^3/atom.

The computed energies, referenced to the most stable structure and given in meV/atom, are 1 0; 2 287; 3 80.

1 | Entry from Alexandria via LeMat-Bulk: a relaxed Sr2In2Pt crystal (PBE).

It has space group P4/mbm (No. 127), with a = 7.450 Å, b = 7.450 Å, c = 5.228 Å, α = 90.00°, β = 90.00° and γ = 90.00°. The inequivalent atoms are Sr at (0.176, 0.324, 0.000), In at (0.140, 0.640, 0.500) and Pt at (0.000, 0.000, 0.500).

The volume comes out at 29.013 A^3/atom.

2 | Entry from Alexandria via LeMat-Bulk: a relaxed Sr2In2Pt crystal (PBE).

It has space group C2/m (No. 12), with a = 11.907 Å, b = 4.487 Å, c = 12.165 Å, α = 90.00°, β = 113.58° and γ = 90.00°. The inequivalent atoms are Sr at (0.009, 0.000, 0.165), Sr at (0.193, 0.000, 0.624), In at (0.024, 0.500, 0.386), In at (0.181, 0.500, 0.054) and Pt at (0.194, 0.500, 0.822).

The volume comes out at 29.783 A^3/atom.

The computed energies, referenced to the most stable structure and given in meV/atom, are 1 209; 2 0.

1 | Entry from Alexandria via LeMat-Bulk: a relaxed SrIn3Pt2 crystal (PBE).

It has space group C2/m (No. 12), with a = 17.963 Å, b = 4.450 Å, c = 11.262 Å, α = 90.00°, β = 108.45° and γ = 90.00°. The inequivalent atoms are Sr at (0.000, 0.000, 0.000), Sr at (0.160, 0.000, 0.708), In at (0.000, 0.500, 0.500), In at (0.039, 0.000, 0.343), In at (0.125, 0.500, 0.197), In at (0.174, 0.500, 0.961), In at (0.218, 0.000, 0.391), Pt at (0.029, 0.500, 0.786), Pt at (0.137, 0.500, 0.448) and Pt at (0.199, 0.000, 0.132).

The volume comes out at 23.722 A^3/atom.

2 | Entry from Alexandria via LeMat-Bulk: a relaxed SrIn3Pt2 crystal (PBE).

It has space group R-3m (No. 166, hexagonal axes), with a = 9.4951 Å, b = 9.4951 Å, c = 11.6239 Å, α = 90.00°, β = 90.00° and γ = 120.00°. The inequivalent atoms are Sr at (0.0000, 0.0000, 0.2503), In at (0.9996, 0.4998, 0.2497), Pt at (0.0000, 0.0000, 0.5000) and Pt at (0.0000, 0.5000, 0.5000).

The volume comes out at 25.210 A^3/atom.

The computed energies, referenced to the most stable structure and given in meV/atom, are 1 0; 2 90.

1 | Entry from Alexandria via LeMat-Bulk: a relaxed InTc2Pt2 crystal (PBE).

It has space group P4/mbm (No. 127), with a = 7.853 Å, b = 7.853 Å, c = 2.751 Å, α = 90.00°, β = 90.00° and γ = 90.00°. The inequivalent atoms are In at (0.000, 0.000, 0.000), Tc at (0.177, 0.323, 0.500) and Pt at (0.120, 0.620, 0.000).

The volume comes out at 16.965 A^3/atom.

2 | Entry from Alexandria via LeMat-Bulk: a relaxed InTc2Pt2 crystal (PBE).

It has space group P4/mbm (No. 127), with a = 7.094 Å, b = 7.094 Å, c = 3.439 Å, α = 90.00°, β = 90.00° and γ = 90.00°. The inequivalent atoms are In at (0.000, 0.000, 0.000), Tc at (0.117, 0.383, 0.000) and Pt at (0.178, 0.678, 0.500).

The volume comes out at 17.305 A^3/atom.

The computed energies, referenced to the most stable structure and given in meV/atom, are 1 0; 2 8.

1 | Entry from Alexandria via LeMat-Bulk: a relaxed In2TePt2 crystal (PBE).

It has space group P4/mbm (No. 127), with a = 8.348 Å, b = 8.348 Å, c = 3.002 Å, α = 90.00°, β = 90.00° and γ = 90.00°. The inequivalent atoms are In at (0.166, 0.334, 0.000), Te at (0.000, 0.000, 0.000) and Pt at (0.126, 0.626, 0.500).

The volume comes out at 20.919 A^3/atom.

2 | Entry from Alexandria via LeMat-Bulk: a relaxed In2TePt2 crystal (PBE).

It has space group I4/mmm (No. 139), with a = 4.216 Å, b = 4.216 Å, c = 12.338 Å, α = 90.00°, β = 90.00° and γ = 90.00°. The inequivalent atoms are In at (0.000, 0.500, 0.250), Te at (0.000, 0.000, 0.000) and Pt at (0.000, 0.000, 0.391).

The volume comes out at 21.934 A^3/atom.

3 | Entry from Alexandria via LeMat-Bulk: a relaxed In2TePt2 crystal (PBE).

It has space group I4/mmm (No. 139), with a = 3.928 Å, b = 3.928 Å, c = 14.771 Å, α = 90.00°, β = 90.00° and γ = 90.00°. The inequivalent atoms are In at (0.000, 0.000, 0.116), Te at (0.000, 0.000, 0.500) and Pt at (0.000, 0.500, 0.250).

The volume comes out at 22.791 A^3/atom.

The computed energies, referenced to the most stable structure and given in meV/atom, are 1 46; 2 0; 3 32.

1 | Entry from Alexandria via LeMat-Bulk: a relaxed Th2InPt crystal (PBE).

It has space group P4/mmm (No. 123), with a = 3.471 Å, b = 3.471 Å, c = 8.679 Å, α = 90.00°, β = 90.00° and γ = 90.00°. The inequivalent atoms are Th at (0.000, 0.000, 0.221), In at (0.500, 0.500, 0.500) and Pt at (0.500, 0.500, 0.000).

The volume comes out at 26.146 A^3/atom.

2 | Entry from Alexandria via LeMat-Bulk: a relaxed Th2InPt crystal (PBE).

It has space group R-3m (No. 166, hexagonal axes), with a = 3.8705 Å, b = 3.8705 Å, c = 31.0177 Å, α = 90.00°, β = 90.00° and γ = 120.00°. The inequivalent atoms are Th at (0.0000, 0.0000, 0.1076), In at (0.0000, 0.0000, 0.0000) and Pt at (0.0000, 0.0000, 0.5000).

The volume comes out at 33.535 A^3/atom.

The computed energies, referenced to the most stable structure and given in meV/atom, are 1 0; 2 407.

1 | Entry from Alexandria via LeMat-Bulk: a relaxed Th2InPt9 crystal (PBE).

It has space group R-3m (No. 166, hexagonal axes), with a = 5.4484 Å, b = 5.4484 Å, c = 27.0197 Å, α = 90.00°, β = 90.00° and γ = 120.00°. The inequivalent atoms are Th at (0.0000, 0.0000, 0.1347), In at (0.0000, 0.0000, 0.0000), Pt at (0.0000, 0.0000, 0.3324), Pt at (0.0000, 0.0000, 0.5000) and Pt at (0.0046, 0.5023, 0.9144).

The volume comes out at 19.295 A^3/atom.

2 | Entry from Alexandria via LeMat-Bulk: a relaxed Th2InPt9 crystal (PBE).

It has space group P4/mmm (No. 123), with a = 4.196 Å, b = 4.196 Å, c = 12.414 Å, α = 90.00°, β = 90.00° and γ = 90.00°. The inequivalent atoms are Th at (0.000, 0.000, 0.173), In at (0.000, 0.000, 0.500), Pt at (0.000, 0.500, 0.000), Pt at (0.000, 0.500, 0.341), Pt at (0.500, 0.500, 0.172) and Pt at (0.500, 0.500, 0.500).

The volume comes out at 18.217 A^3/atom.

The computed energies, referenced to the most stable structure and given in meV/atom, are 1 184; 2 0.

1 | Entry from Alexandria via LeMat-Bulk: a relaxed Ti3InPt crystal (PBE).

It has space group C2/m (No. 12), with a = 9.625 Å, b = 4.167 Å, c = 9.403 Å, α = 90.00°, β = 100.43° and γ = 90.00°. The inequivalent atoms are Ti at (0.038, 0.000, 0.353), Ti at (0.146, 0.000, 0.946), Ti at (0.196, 0.500, 0.746), In at (0.079, 0.500, 0.151) and Pt at (0.213, 0.000, 0.594).

The volume comes out at 18.547 A^3/atom.

2 | Entry from Alexandria via LeMat-Bulk: a relaxed Ti3InPt crystal (PBE).

It has space group Pm-3m (No. 221), with a = 4.815 Å, b = 4.815 Å, c = 4.815 Å, α = 90.00°, β = 90.00° and γ = 90.00°. The inequivalent atoms are Ti at (0.000, 0.000, 0.500), In at (0.500, 0.500, 0.500) and Pt at (0.000, 0.000, 0.000).

The volume comes out at 22.326 A^3/atom.

The computed energies, referenced to the most stable structure and given in meV/atom, are 1 0; 2 443.